No. 1
## ZnInS2N (PBE)

Data for crystalline ZnInS2N at its relaxed geometry.

Values from the calculation:
Total magnetic moment ... 2.19 μB per formula unit
VASP energy ... -3.45 eV/atom
ρ ... 4.7 g cm⁻³
Calculated volume ... 18.2 A^3/atom
ΔE_f (raw) ... 665 meV per atom
Energy above the most stable polymorph in this dataset ... 0.0 kJ per mole of atoms

Unit cell a=4.9239 b=4.9239 c=3.7612 alpha=90.00 beta=90.00 gamma=90.00
Last column: nearest neighbours and their distance in Å.
Fractional coordinates of all 5 atoms:
S 0.5000 0.0000 0.0000  2 Zn 2.46
S 0.0000 0.5000 0.0000  2 Zn 2.46
In 0.5000 0.5000 0.5000  8 S 3.10
Zn 0.0000 0.0000 0.0000  2 N 1.88
N 0.0000 0.0000 0.5000  2 Zn 1.88

No. 2
## Sn2GeSe2 (PBE)

Data for crystalline Sn2GeSe2 at its relaxed geometry.

Values from the calculation:
Total magnetic moment ... 0.00 μB per formula unit
VASP energy ... -3.90 eV/atom
ρ ... 6.1 g cm⁻³
Calculated volume ... 25.6 A^3/atom
ΔE_f (raw) ... 18 meV per atom
Energy above the most stable polymorph in this dataset ... 6.5 kJ per mole of atoms

Unit cell a=7.8793 b=7.8793 c=4.1171 alpha=90.00 beta=90.00 gamma=90.00
Last column: nearest neighbours and their distance in Å.
Fractional coordinates of all 10 atoms:
Ge 0.0000 0.0000 0.0000  4 Sn 2.97
Ge 0.5000 0.5000 0.0000  4 Sn 2.97
Sn 0.1579 0.3421 0.0000  2 Se 2.83, 2 Ge 2.97
Sn 0.6579 0.1579 0.0000  2 Se 2.83, 2 Ge 2.97
Sn 0.8421 0.6579 0.0000  2 Se 2.83, 2 Ge 2.97
Sn 0.3421 0.8421 0.0000  2 Se 2.83, 2 Ge 2.97
Se 0.6676 0.8324 0.5000  2 Sn 2.83
Se 0.8324 0.3324 0.5000  2 Sn 2.83
Se 0.1676 0.6676 0.5000  2 Sn 2.83
Se 0.3324 0.1676 0.5000  2 Sn 2.83

No. 3
## Rb2ZrPtI6 (PBE)

Data for crystalline Rb2ZrPtI6 at its relaxed geometry.

Values from the calculation:
Total magnetic moment ... 0.24 μB per formula unit
VASP energy ... -3.37 eV/atom
ρ ... 4.9 g cm⁻³
Calculated volume ... 41.1 A^3/atom
ΔE_f (raw) ... -784 meV per atom

Unit cell a=8.0632 b=8.0632 c=8.5158 alpha=61.74 beta=61.74 gamma=90.00
Last column: nearest neighbours and their distance in Å.
Fractional coordinates of all 10 atoms:
Rb 0.2500 0.7500 0.5000  12 I 4.04-4.26
Rb 0.7500 0.2500 0.5000  12 I 4.04-4.26
I 0.7312 0.7312 0.5376  1 Zr 2.92
I 0.7557 0.2443 0.0000  1 Pt 2.79, 1 Zr 2.92
I 0.2443 0.2443 0.0000  1 Pt 2.79, 1 Zr 2.92
I 0.2443 0.7557 0.0000  1 Pt 2.79, 1 Zr 2.92
I 0.2688 0.2688 0.4624  1 Zr 2.92
I 0.7557 0.7557 0.0000  1 Pt 2.79, 1 Zr 2.92
Pt 0.0000 0.0000 0.0000  4 I 2.79
Zr 0.5000 0.5000 0.0000  6 I 2.92

Q: Which formula does entry 3 have?
A: Rb2ZrPtI6

Please write out number 3 again, unchanged.
## Rb2ZrPtI6 (PBE)

Data for crystalline Rb2ZrPtI6 at its relaxed geometry.

Values from the calculation:
Total magnetic moment ... 0.24 μB per formula unit
VASP energy ... -3.37 eV/atom
ρ ... 4.9 g cm⁻³
Calculated volume ... 41.1 A^3/atom
ΔE_f (raw) ... -784 meV per atom

Unit cell a=8.0632 b=8.0632 c=8.5158 alpha=61.74 beta=61.74 gamma=90.00
Last column: nearest neighbours and their distance in Å.
Fractional coordinates of all 10 atoms:
Rb 0.2500 0.7500 0.5000  12 I 4.04-4.26
Rb 0.7500 0.2500 0.5000  12 I 4.04-4.26
I 0.7312 0.7312 0.5376  1 Zr 2.92
I 0.7557 0.2443 0.0000  1 Pt 2.79, 1 Zr 2.92
I 0.2443 0.2443 0.0000  1 Pt 2.79, 1 Zr 2.92
I 0.2443 0.7557 0.0000  1 Pt 2.79, 1 Zr 2.92
I 0.2688 0.2688 0.4624  1 Zr 2.92
I 0.7557 0.7557 0.0000  1 Pt 2.79, 1 Zr 2.92
Pt 0.0000 0.0000 0.0000  4 I 2.79
Zr 0.5000 0.5000 0.0000  6 I 2.92